## SrV2P2O10 (PBE with a Hubbard U)

Data for a geometry-optimized SrV2P2O10 structure.

The structure in CIF format:
```
data_SrV2P2O10
_symmetry_space_group_name_H-M 'P 1'
_symmetry_Int_Tables_number 1
_cell_length_a 10.0846
_cell_length_b 8.9122
_cell_length_c 7.0275
_cell_angle_alpha 77.50
_cell_angle_beta 59.63
_cell_angle_gamma 42.87
loop_
_symmetry_equiv_pos_as_xyz
'x,y,z'
loop_
_atom_site_label
_atom_site_fract_x
_atom_site_fract_y
_atom_site_fract_z
Sr1 0.9961 0.0039 0.0039
Sr2 0.2461 0.2539 0.2539
V1 0.6217 0.6383 0.6501
V2 0.5999 0.1601 0.6283
V3 0.0899 0.6501 0.6383
V4 0.6117 0.6283 0.1601
P1 0.2012 0.2172 0.7986
P2 0.4514 0.4670 0.0488
P3 0.7830 0.7986 0.2172
P4 0.0328 0.0488 0.4670
O1 0.2378 0.5644 0.2834
O2 0.6112 0.8553 0.1815
O3 0.3273 0.9787 0.6983
O4 0.8272 0.8447 0.6738
O5 0.1623 0.3678 0.6265
O6 0.3947 0.6388 0.8980
O7 0.4053 0.4228 0.5957
O8 0.6856 0.0122 0.3357
O9 0.9143 0.2834 0.5644
O10 0.3520 0.1815 0.8553
O11 0.6543 0.6738 0.8447
O12 0.8433 0.6265 0.3678
O13 0.6235 0.4067 0.0877
O14 0.8822 0.0877 0.4067
O15 0.5762 0.5957 0.4228
O16 0.0685 0.8980 0.6388
O17 0.2713 0.9227 0.2543
O18 0.9666 0.3357 0.0122
O19 0.9957 0.6983 0.9787
O20 0.5517 0.2543 0.9227
```

Output
* total energy: -224.269 eV for the cell shown
* N(E_F): 0.000 states/eV/cell
* crystal system: orthorhombic